## ZnAg2Br (PBE)

Data for ZnAg2Br after structural relaxation.

Lattice parameters (Å, degrees): 6.954 6.954 6.954 90.00 90.00 90.00
Space group Fm-3m (No. 225)
One atom of each set of equivalent atoms:
Zn: 0.000 0.000 0.000
Ag: 0.250 0.250 0.250
Br: 0.000 0.000 0.500

Magnetic moment, μB/atom: 0.00
Polymorph energy (0 for the lowest one), meV per atom: 278
DOS(E_F), states/eV/f.u.: 1.102
Crystal system: cubic
ΔE_f (raw), meV per atom: 237.0
E_tot, eV/cell: -30.81